[1]
VASP calculation (PBE-GGA) on BaTcN3 after structural relaxation.

Cell lengths 6.162, 8.008, 8.008 Å; angles 91.73, 81.44, 81.44 degrees
Fractional coordinates of all 20 atoms:
N: 0.320 0.234 0.019
N: 0.182 0.575 0.150
N: 0.680 0.766 0.981
N: 0.682 0.150 0.575
N: 0.180 0.981 0.766
N: 0.820 0.019 0.234
N: 0.986 0.681 0.642
N: 0.486 0.642 0.681
N: 0.514 0.358 0.319
N: 0.014 0.319 0.358
N: 0.318 0.850 0.425
N: 0.818 0.425 0.850
Ba: 0.750 0.101 0.899
Ba: 0.250 0.337 0.663
Ba: 0.750 0.663 0.337
Ba: 0.250 0.899 0.101
Tc: 0.261 0.369 0.203
Tc: 0.239 0.797 0.631
Tc: 0.761 0.203 0.369
Tc: 0.739 0.631 0.797

Results
- DFT total energy: -0.286 hartree per atom

[2]
VASP calculation (PBE-GGA) on Ba2Tc2N after structural relaxation.

Cell lengths 5.847, 5.847, 6.050 Å; angles 90.00, 90.00, 90.00 degrees
Fractional coordinates of all 10 atoms:
Ba: 0.319 0.181 0.500
Ba: 0.181 0.681 0.500
Ba: 0.681 0.819 0.500
Ba: 0.819 0.319 0.500
Tc: 0.171 0.329 0.000
Tc: 0.671 0.171 0.000
Tc: 0.329 0.829 0.000
Tc: 0.829 0.671 0.000
N: 0.000 0.000 0.000
N: 0.500 0.500 0.000

Results
- E above lowest polymorph: 0.15 eV/f.u.
- D(E_F): 4.8 states/eV/f.u.

[3]
VASP calculation (PBE-GGA) on BaTcTe2N after structural relaxation.

Cell lengths 5.775, 5.775, 3.832 Å; angles 90.00, 90.00, 90.00 degrees
Last column: magnetic moment on the atom in μB.
Fractional coordinates of all 5 atoms:
N: 0.000 0.000 0.500  -0.06
Te: 0.000 0.500 0.000  0.00
Te: 0.500 0.000 0.000  0.00
Tc: 0.000 0.000 0.000  0.83
Ba: 0.500 0.500 0.500  0.01

Results
- E above lowest polymorph: 0.00 eV/f.u.
- D(E_F): 2.6 states/eV/f.u.

[4]
VASP calculation (PBE-GGA) on BaTcTeN2 after structural relaxation.

Cell lengths 4.262, 4.262, 5.498 Å; angles 90.00, 90.00, 90.00 degrees
Fractional coordinates of all 5 atoms:
Ba: 0.500 0.500 0.500
N: 0.000 0.500 0.000
N: 0.500 0.000 0.000
Te: 0.000 0.000 0.500
Tc: 0.000 0.000 0.000

Results
- E above lowest polymorph: 0.00 eV/f.u.
- D(E_F): 5.2 states/eV/f.u.

[5]
VASP calculation (PBE-GGA) on BaTcTe2N after structural relaxation.

Cell lengths 6.473, 6.473, 4.353 Å; angles 90.00, 90.00, 90.00 degrees
Last column: magnetic moment on the atom in μB.
Fractional coordinates of all 5 atoms:
Te: 0.500 0.000 0.000  -0.05
Te: 0.000 0.500 0.000  -0.05
N: 0.000 0.000 0.500  0.37
Ba: 0.000 0.000 0.000  -0.01
Tc: 0.500 0.500 0.500  3.94

Results
- E above lowest polymorph: 10.04 eV/f.u.
- D(E_F): 6.4 states/eV/f.u.

[6]
VASP calculation (PBE-GGA) on BaTcTeN2 after structural relaxation.

Cell lengths 4.509, 4.509, 7.132 Å; angles 90.00, 90.00, 90.00 degrees
Last column: magnetic moment on the atom in μB.
Fractional coordinates of all 5 atoms:
Te: 0.000 0.000 0.500  0.04
N: 0.000 0.500 0.000  0.77
N: 0.500 0.000 0.000  0.77
Ba: 0.000 0.000 0.000  0.07
Tc: 0.500 0.500 0.500  3.66

Results
- E above lowest polymorph: 8.30 eV/f.u.
- D(E_F): 3.1 states/eV/f.u.

[7]
VASP calculation (PBE-GGA) on BaThTcN4 after structural relaxation.

Cell lengths 6.196, 5.881, 7.499 Å; angles 90.00, 106.25, 90.00 degrees
Fractional coordinates of all 14 atoms:
N: 0.440 0.750 0.177
N: 0.560 0.250 0.823
N: 0.046 0.989 0.308
N: 0.954 0.011 0.692
N: 0.046 0.511 0.308
N: 0.445 0.750 0.565
N: 0.954 0.489 0.692
N: 0.555 0.250 0.435
Th: 0.797 0.750 0.448
Th: 0.203 0.250 0.552
Ba: 0.720 0.750 0.925
Ba: 0.280 0.250 0.075
Tc: 0.260 0.750 0.333
Tc: 0.740 0.250 0.667

Results
- DFT total energy: -0.307 hartree per atom
- D(E_F): 3.4 states/eV/f.u.

[8]
VASP calculation (PBE-GGA) on Ba2TmTcN4 after structural relaxation.

Cell lengths 5.786, 6.690, 10.846 Å; angles 83.38, 74.53, 64.38 degrees
Fractional coordinates of all 16 atoms:
N: 0.407 0.687 0.415
N: 0.178 0.313 0.415
N: 0.906 0.687 0.585
N: 0.572 0.187 0.085
N: 0.844 0.813 0.915
N: 0.343 0.813 0.085
N: 0.509 0.313 0.585
N: 0.241 0.187 0.915
Tc: 0.500 0.000 0.000
Tc: 0.250 0.500 0.500
Ba: 0.816 0.000 0.368
Ba: 0.184 0.000 0.632
Ba: 0.566 0.500 0.868
Ba: 0.934 0.500 0.132
Tm: 0.750 0.500 0.500
Tm: 0.000 0.000 0.000

Results
- DFT total energy: -0.252 hartree per atom
- D(E_F): 4.9 states/eV/f.u.

Calculated values (g cm⁻³) of theoretical density for the records, taken in order: 4.77; 7.78; 6.56; 6.50; 4.59; 4.48; 6.63; 5.44.